DFT (PBE-GGA) results for an optimized crystal structure of Rb3NiAg2Cl8.

Cell: 7.050 7.050 9.610 Å, 90.00 90.00 120.00°
Fractional positions:
Rb: 0.000 0.000 0.000
Rb: 0.333 0.667 0.627
Rb: 0.667 0.333 0.373
Ni: 0.000 0.000 0.500
Ag: 0.333 0.667 0.206
Ag: 0.667 0.333 0.794
Cl: 0.155 0.310 0.353
Cl: 0.155 0.845 0.353
Cl: 0.310 0.155 0.647
Cl: 0.333 0.667 0.956
Cl: 0.667 0.333 0.044
Cl: 0.690 0.845 0.353
Cl: 0.845 0.155 0.647
Cl: 0.845 0.690 0.647

Calculated values
* calculated total energy: -3.17 eV per atom
* symmetry: No. 164
* DOS at the Fermi energy: 2.256 states/eV/cell